80
Lattice="15.4292 0.0000 0.0000 -5.1431 14.5468 0.0000 -5.1431 -7.2734 12.5979" Properties=species:S:1:pos:R:3 comment="Sc3In5Pb12 | Alexandria | GGA-PBE | optimized geometry" formation_energy_ev_per_atom=0.164 crystal_system=cubic spacegroup="Ia-3d (230)" pbc="T T T"
Pb -1.7332 4.8946 10.8451
Pb -2.6208 3.6392 8.0517
Pb 5.0938 2.1175 7.1731
Pb 10.2368 1.5167 0.8786
Pb -4.5538 6.5202 7.1775
Pb 3.1607 1.4341 4.2410
Pb -1.7332 -3.9652 9.2354
Pb 2.5222 9.3909 5.4247
Pb -5.4415 0.1787 10.5399
Pb 5.4415 1.8716 11.7237
Pb 1.9823 5.8393 8.3569
Pb -1.9823 -0.7531 5.4204
Pb -0.8384 8.2027 5.1152
Pb -3.1607 7.9543 9.6614
Pb 9.4478 -4.8946 10.8451
Pb 6.8762 2.3788 1.7528
Pb 2.8700 9.1450 0.8742
Pb -4.3047 12.1680 1.7528
Pb 10.3354 -3.6392 8.0517
Pb -0.5892 0.6809 2.9365
Pb -0.2985 8.9663 1.1837
Pb 7.7639 3.6342 4.5462
Pb 0.5892 8.7074 8.3569
Pb 11.1245 3.3081 3.3624
Pb -5.9814 3.9652 9.2354
Pb -2.6208 -5.7567 11.7193
Pb 6.8762 11.2386 3.3624
Pb 9.6969 0.7532 5.4204
Pb -0.2985 5.4018 0.8742
Pb 2.6208 -2.1175 7.1731
Pb 5.4415 -1.6929 11.4141
Pb 5.9814 -0.9293 7.4827
Pb 7.1254 8.0265 7.1775
Pb 5.7323 6.5925 9.6614
Pb 2.8700 5.5805 1.1837
Pb 0.0493 5.1559 5.4247
Pb 2.2731 1.6929 11.4141
Pb 1.7332 0.9293 7.4827
Pb 4.5539 -1.4340 4.2410
Pb 7.7639 13.0301 0.8786
Pb 7.4161 7.4521 2.0579
Pb 2.2731 -1.8716 11.7237
Pb -2.2731 -0.1787 10.5399
Pb -5.1924 10.9126 4.5462
Pb 10.5846 7.0947 2.0579
Pb 3.4099 6.3440 5.1152
Pb 8.3038 -0.6809 2.9365
Pb -5.0937 5.7567 11.7193
In -1.2858 0.9092 7.8737
In -1.2858 11.8192 1.5747
In 6.4288 3.6367 9.4484
In -3.8573 8.1826 4.7242
In 3.8573 2.7275 1.5747
In 2.5715 3.6367 6.2989
In 1.2858 4.5459 11.0231
In -2.5715 -3.6367 6.2989
In 5.1431 -3.6367 6.2989
In 7.7146 0.0000 0.0000
In 6.4288 6.3642 4.7242
In 1.2858 -3.6367 9.4484
In 3.8573 10.9101 3.1495
In -2.5715 7.2734 0.0000
In 6.4288 -4.5459 11.0231
In 5.1431 7.2734 0.0000
In 9.0004 -0.9092 7.8737
In 0.0000 0.0000 0.0000
In -1.2858 3.6367 3.1495
In -5.1431 3.6367 6.2989
Sc 3.8573 0.0000 9.4484
Sc 9.0004 10.0009 1.5747
Sc 3.8573 8.1826 7.8737
Sc -3.8573 2.7275 11.0231
Sc -1.2858 6.3642 7.8737
Sc 1.2858 7.2734 3.1495
Sc -3.8573 -2.7275 11.0231
Sc 1.2858 -0.9092 4.7242
Sc 6.4288 0.9092 4.7242
Sc 9.0004 4.5459 1.5747
Sc -6.4288 7.2734 9.4484
Sc 11.5719 0.0000 3.1495

***

4
Lattice="-3.8044 -2.0352 1.1391 2.1328 -3.9163 0.1258 1.0484 0.7250 4.7970" Properties=species:S:1:pos:R:3 comment="ScIn2Pb | Alexandria | GGA-PBE | optimized geometry" formation_energy_ev_per_atom=-0.217 crystal_system=tetragonal spacegroup="P4/mmm (123)" pbc="T T T"
In -0.8358 -2.9758 0.6324
In 0.0000 0.0000 0.0000
Sc 1.5906 -1.5956 2.4614
Pb -1.3780 -0.6551 2.9680

***

4
Lattice="3.5121 0.0000 0.0000 0.0000 5.6761 0.0000 0.0000 0.0000 5.4327" Properties=species:S:1:pos:R:3 comment="ScInPb2 | Alexandria | GGA-PBE | optimized geometry" formation_energy_ev_per_atom=-0.096 crystal_system=orthorhombic spacegroup="Pmmm (47)" pbc="T T T"
In 0.0000 2.8381 2.7164
Sc 1.7560 0.0000 2.7164
Pb 0.0000 0.0000 0.0000
Pb 1.7560 2.8381 0.0000

***

10
Lattice="0.3215 -1.6941 -5.7775 -2.4977 -4.7151 2.8076 -5.4107 6.3371 -0.5133" Properties=species:S:1:pos:R:3 comment="Sc2InPb2 | Alexandria | GGA-PBE | optimized geometry" formation_energy_ev_per_atom=-0.208 crystal_system=monoclinic spacegroup="C2/c (15)" polymorph_energy_ev_per_fu=0.00 pbc="T T T"
Pb -5.8661 1.0828 -1.8603
Pb -1.7208 -1.1549 -1.6228
Pb -4.0815 1.7080 -4.5173
Pb -3.5053 -1.7801 1.0342
Sc -4.3745 -1.2412 -3.0494
Sc -3.2123 1.1691 -0.4337
Sc -7.1039 2.1644 0.7989
Sc -0.4829 -2.2365 -4.2820
In -4.1349 3.8663 -2.0439
In -3.4520 -3.9384 -1.4393